(1)
# CsBi3Pb, optimized geometry, DFT PBE
# Final energy, eV/atom: -2.01
# Energy of formation, kJ per mole of atoms: 118.8
# Distance to the lowest polymorph of the same formula, meV/atom: 917.7
data_CsBi3Pb
_cell_length_a 6.2297
_cell_length_b 6.2297
_cell_length_c 6.2297
_cell_angle_alpha 90.00
_cell_angle_beta 90.00
_cell_angle_gamma 90.00
_symmetry_space_group_name_H-M 'P 1'
_symmetry_Int_Tables_number 1
loop_
_symmetry_equiv_pos_as_xyz
'x,y,z'
loop_
_atom_site_label
_atom_site_fract_x
_atom_site_fract_y
_atom_site_fract_z
Pb1 0.5000 0.5000 0.5000
Cs1 0.0000 0.0000 0.0000
Bi1 0.0000 0.5000 0.0000
Bi2 0.0000 0.0000 0.5000
Bi3 0.5000 0.0000 0.0000

***

(2)
# Cs3Bi2Pb, optimized geometry, DFT PBE
# Final energy, eV/atom: -2.65
# Energy of formation, kJ per mole of atoms: -30.3
# Distance to the lowest polymorph of the same formula, meV/atom: 0.0
data_Cs3Bi2Pb
_cell_length_a 9.4236
_cell_length_b 8.0030
_cell_length_c 10.6320
_cell_angle_alpha 112.11
_cell_angle_beta 116.31
_cell_angle_gamma 90.00
_symmetry_space_group_name_H-M 'P 1'
_symmetry_Int_Tables_number 1
loop_
_symmetry_equiv_pos_as_xyz
'x,y,z'
loop_
_atom_site_label
_atom_site_fract_x
_atom_site_fract_y
_atom_site_fract_z
Cs1 0.3717 0.6752 0.3505
Cs2 0.6283 0.3248 0.6495
Cs3 0.0212 0.8248 0.6495
Cs4 0.9788 0.1752 0.3505
Cs5 0.5000 0.7500 0.0000
Cs6 0.5000 0.2500 0.0000
Bi1 0.2939 0.1008 0.2016
Bi2 0.7061 0.8992 0.7984
Bi3 0.0923 0.3992 0.7984
Bi4 0.9077 0.6008 0.2016
Pb1 0.0000 0.2500 0.0000
Pb2 0.0000 0.7500 0.0000

***

(3)
# CsBi3Pb3, optimized geometry, DFT PBE
# Final energy, eV/atom: -3.38
# Energy of formation, kJ per mole of atoms: -0.2
# Distance to the lowest polymorph of the same formula, meV/atom: 69.7
data_CsBi3Pb3
_cell_length_a 8.8648
_cell_length_b 8.8648
_cell_length_c 8.8648
_cell_angle_alpha 90.00
_cell_angle_beta 90.00
_cell_angle_gamma 90.00
_symmetry_space_group_name_H-M 'P 1'
_symmetry_Int_Tables_number 1
loop_
_symmetry_equiv_pos_as_xyz
'x,y,z'
loop_
_atom_site_label
_atom_site_fract_x
_atom_site_fract_y
_atom_site_fract_z
Pb1 0.0000 0.2500 0.5000
Pb2 0.0000 0.7500 0.5000
Pb3 0.5000 0.0000 0.7500
Pb4 0.7500 0.5000 0.0000
Pb5 0.5000 0.0000 0.2500
Pb6 0.2500 0.5000 0.0000
Cs1 0.5000 0.5000 0.5000
Cs2 0.0000 0.0000 0.0000
Bi1 0.2500 0.0000 0.5000
Bi2 0.0000 0.5000 0.2500
Bi3 0.5000 0.7500 0.0000
Bi4 0.7500 0.0000 0.5000
Bi5 0.0000 0.5000 0.7500
Bi6 0.5000 0.2500 0.0000

***

> Which value of distance to the lowest polymorph of the same formula does entry 2 give?

0.0 meV/atom

***

> Which of these has the lowest final energy?

CsBi3Pb3